# 1
{"formula": "PmPrSnSb", "functional": "PBE-GGA", "state": "optimized geometry", "crystal_system": "cubic", "space_group": "F-43m (216)", "e_form_raw_ev_per_atom": -0.681, "lattice": [[7.805, 0.000, 0.000], [0.000, 7.805, 0.000], [0.000, 0.000, 7.805]], "species": ["Pm", "Pm", "Pm", "Pm", "Pr", "Pr", "Pr", "Pr", "Sn", "Sn", "Sn", "Sn", "Sb", "Sb", "Sb", "Sb"], "fractional_positions": [[0.000, 0.000, 0.000], [0.000, 0.500, 0.500], [0.500, 0.000, 0.500], [0.500, 0.500, 0.000], [0.000, 0.000, 0.500], [0.000, 0.500, 0.000], [0.500, 0.000, 0.000], [0.500, 0.500, 0.500], [0.250, 0.250, 0.750], [0.250, 0.750, 0.250], [0.750, 0.250, 0.250], [0.750, 0.750, 0.750], [0.250, 0.250, 0.250], [0.250, 0.750, 0.750], [0.750, 0.250, 0.750], [0.750, 0.750, 0.250]]}

# 2
{"formula": "TbPm2PrSb4", "functional": "PBE-GGA", "state": "optimized geometry", "crystal_system": "monoclinic", "space_group": "P2/m (10)", "e_form_raw_ev_per_atom": -1.174, "lattice": [[7.770, 0.000, 0.000], [0.000, 4.490, 0.000], [-2.591, 0.000, 7.327]], "species": ["Tb", "Pm", "Pm", "Pr", "Sb", "Sb", "Sb", "Sb"], "fractional_positions": [[0.000, 0.000, 0.000], [0.000, 0.500, 0.500], [0.500, 0.000, 0.500], [0.500, 0.500, 0.000], [0.245, 0.000, 0.749], [0.245, 0.500, 0.247], [0.755, 0.000, 0.251], [0.755, 0.500, 0.753]]}

# 3
{"formula": "Tb2PmPrSb4", "functional": "PBE-GGA", "state": "optimized geometry", "crystal_system": "monoclinic", "space_group": "P2/m (10)", "e_form_raw_ev_per_atom": -1.166, "lattice": [[7.728, 0.000, 0.000], [0.000, 4.468, 0.000], [-2.579, 0.000, 7.290]], "species": ["Tb", "Tb", "Pm", "Pr", "Sb", "Sb", "Sb", "Sb"], "fractional_positions": [[0.000, 0.000, 0.000], [0.000, 0.500, 0.500], [0.500, 0.000, 0.500], [0.500, 0.500, 0.000], [0.242, 0.000, 0.745], [0.243, 0.500, 0.249], [0.757, 0.500, 0.751], [0.758, 0.000, 0.255]]}

# 4
{"formula": "TbPmPr2Sb4", "functional": "PBE-GGA", "state": "optimized geometry", "crystal_system": "monoclinic", "space_group": "P2/m (10)", "e_form_raw_ev_per_atom": -1.177, "lattice": [[7.798, 0.000, 0.000], [0.000, 4.506, 0.000], [-2.601, 0.000, 7.353]], "species": ["Tb", "Pm", "Pr", "Pr", "Sb", "Sb", "Sb", "Sb"], "fractional_positions": [[0.000, 0.000, 0.000], [0.000, 0.500, 0.500], [0.500, 0.000, 0.500], [0.500, 0.500, 0.000], [0.242, 0.500, 0.245], [0.244, 0.000, 0.751], [0.756, 0.000, 0.249], [0.758, 0.500, 0.755]]}

# 5
{"formula": "Tb3PmPr2Sb6", "functional": "PBE-GGA", "state": "optimized geometry", "crystal_system": "monoclinic", "space_group": "C2/m (12)", "e_form_raw_ev_per_atom": -1.167, "lattice": [[9.736, -2.236, 0.000], [9.736, 2.236, 0.000], [-2.038, 0.000, 8.699]], "species": ["Tb", "Tb", "Tb", "Pm", "Pr", "Pr", "Sb", "Sb", "Sb", "Sb", "Sb", "Sb"], "fractional_positions": [[0.000, 0.000, 0.000], [0.333, 0.333, 0.667], [0.667, 0.667, 0.333], [0.000, 0.000, 0.500], [0.334, 0.334, 0.167], [0.666, 0.666, 0.833], [0.165, 0.165, 0.089], [0.168, 0.168, 0.577], [0.497, 0.497, 0.753], [0.503, 0.503, 0.247], [0.832, 0.832, 0.423], [0.835, 0.835, 0.911]]}

# 6
{"formula": "PmPr3Th2Sb6", "functional": "PBE-GGA", "state": "optimized geometry", "crystal_system": "monoclinic", "space_group": "C2/m (12)", "e_form_raw_ev_per_atom": -1.114, "lattice": [[9.878, -2.266, 0.000], [9.878, 2.266, 0.000], [-2.093, 0.000, 8.813]], "species": ["Pm", "Pr", "Pr", "Pr", "Th", "Th", "Sb", "Sb", "Sb", "Sb", "Sb", "Sb"], "fractional_positions": [[0.000, 0.000, 0.000], [0.000, 0.000, 0.500], [0.334, 0.334, 0.166], [0.666, 0.666, 0.834], [0.335, 0.335, 0.669], [0.665, 0.665, 0.331], [0.166, 0.166, 0.085], [0.168, 0.168, 0.581], [0.499, 0.499, 0.752], [0.501, 0.501, 0.248], [0.832, 0.832, 0.419], [0.834, 0.834, 0.915]]}

# 7
{"formula": "Pm3PrTh2Sb6", "functional": "PBE-GGA", "state": "optimized geometry", "crystal_system": "monoclinic", "space_group": "C2/m (12)", "e_form_raw_ev_per_atom": -1.111, "lattice": [[9.822, -2.257, 0.000], [9.822, 2.257, 0.000], [-2.055, 0.000, 8.769]], "species": ["Pm", "Pm", "Pm", "Pr", "Th", "Th", "Sb", "Sb", "Sb", "Sb", "Sb", "Sb"], "fractional_positions": [[0.000, 0.000, 0.000], [0.335, 0.335, 0.666], [0.665, 0.665, 0.334], [0.000, 0.000, 0.500], [0.334, 0.334, 0.169], [0.666, 0.666, 0.831], [0.167, 0.167, 0.083], [0.168, 0.168, 0.584], [0.500, 0.500, 0.247], [0.500, 0.500, 0.753], [0.832, 0.832, 0.416], [0.833, 0.833, 0.917]]}

# 8
{"formula": "PmPr2Th3Sb6", "functional": "PBE-GGA", "state": "optimized geometry", "crystal_system": "monoclinic", "space_group": "C2/m (12)", "e_form_raw_ev_per_atom": -1.063, "lattice": [[9.859, -2.261, 0.000], [9.859, 2.261, 0.000], [-2.074, 0.000, 8.790]], "species": ["Pm", "Pr", "Pr", "Th", "Th", "Th", "Sb", "Sb", "Sb", "Sb", "Sb", "Sb"], "fractional_positions": [[0.000, 0.000, 0.000], [0.334, 0.334, 0.667], [0.666, 0.666, 0.333], [0.000, 0.000, 0.500], [0.333, 0.333, 0.167], [0.667, 0.667, 0.833], [0.166, 0.166, 0.081], [0.166, 0.166, 0.585], [0.499, 0.499, 0.249], [0.501, 0.501, 0.751], [0.834, 0.834, 0.415], [0.834, 0.834, 0.919]]}

# 9
{"formula": "PmPr2ThSb4", "functional": "PBE-GGA", "state": "optimized geometry", "crystal_system": "monoclinic", "space_group": "P2/m (10)", "e_form_raw_ev_per_atom": -1.142, "lattice": [[7.835, 0.000, 0.000], [0.000, 4.534, 0.000], [-2.612, 0.000, 7.398]], "species": ["Pm", "Pr", "Pr", "Th", "Sb", "Sb", "Sb", "Sb"], "fractional_positions": [[0.000, 0.000, 0.000], [0.000, 0.500, 0.500], [0.500, 0.000, 0.500], [0.500, 0.500, 0.000], [0.249, 0.500, 0.246], [0.251, 0.000, 0.754], [0.749, 0.000, 0.246], [0.751, 0.500, 0.754]]}

# 10
{"formula": "Pm2PrTh3Sb6", "functional": "PBE-GGA", "state": "optimized geometry", "crystal_system": "monoclinic", "space_group": "C2/m (12)", "e_form_raw_ev_per_atom": -1.062, "lattice": [[9.834, -2.257, 0.000], [9.834, 2.257, 0.000], [-2.061, 0.000, 8.768]], "species": ["Pm", "Pm", "Pr", "Th", "Th", "Th", "Sb", "Sb", "Sb", "Sb", "Sb", "Sb"], "fractional_positions": [[0.167, 0.167, 0.333], [0.833, 0.833, 0.667], [0.500, 0.500, 0.000], [0.166, 0.166, 0.833], [0.500, 0.500, 0.500], [0.834, 0.834, 0.167], [0.000, 0.000, 0.252], [0.000, 0.000, 0.748], [0.332, 0.332, 0.916], [0.333, 0.333, 0.417], [0.667, 0.667, 0.583], [0.668, 0.668, 0.084]]}

# 11
{"formula": "Pm2PrThSb4", "functional": "PBE-GGA", "state": "optimized geometry", "crystal_system": "monoclinic", "space_group": "P2/m (10)", "e_form_raw_ev_per_atom": -1.140, "lattice": [[7.805, 0.000, 0.000], [0.000, 4.518, 0.000], [-2.604, 0.000, 7.367]], "species": ["Pm", "Pm", "Pr", "Th", "Sb", "Sb", "Sb", "Sb"], "fractional_positions": [[0.000, 0.000, 0.000], [0.000, 0.500, 0.500], [0.500, 0.000, 0.500], [0.500, 0.500, 0.000], [0.248, 0.000, 0.751], [0.248, 0.500, 0.247], [0.752, 0.000, 0.249], [0.752, 0.500, 0.753]]}

# 12
{"formula": "PmPrTh2Sb5", "functional": "PBE-GGA", "state": "optimized geometry", "crystal_system": "tetragonal", "space_group": "P4/mmm (123)", "e_form_raw_ev_per_atom": -0.107, "lattice": [[5.344, 0.000, 0.000], [0.000, 5.344, 0.000], [0.000, 0.000, 11.721]], "species": ["Pm", "Pr", "Th", "Th", "Sb", "Sb", "Sb", "Sb", "Sb"], "fractional_positions": [[0.000, 0.000, 0.000], [0.000, 0.000, 0.500], [0.500, 0.500, 0.195], [0.500, 0.500, 0.805], [0.000, 0.000, 0.250], [0.000, 0.000, 0.750], [0.000, 0.500, 0.000], [0.500, 0.000, 0.000], [0.500, 0.500, 0.500]]}